VASP calculation (PBE-GGA) on crystalline AcLu2Sn at its relaxed geometry.

crystal system	tetragonal
energy relative to the lowest polymorph listed for this composition	0.00	kcal/mol of atoms
E	-4.57	eV per atom
V	121	Å³/f.u.
formation energy	-109	kJ/mol of formula units
density	9.5	g cm⁻³

Cell and atoms, written as CIF:
```
data_AcLu2Sn
_cell_length_a 4.977
_cell_length_b 4.977
_cell_length_c 4.894
_cell_angle_alpha 90.00
_cell_angle_beta 90.00
_cell_angle_gamma 90.00
_space_group_name_H-M_alt 'P 4/m m m'
_space_group_IT_number 123
_space_group_name_Hall '-P 4 2'
loop_
_atom_site_label
_atom_site_type_symbol
_atom_site_fract_x
_atom_site_fract_y
_atom_site_fract_z
Ac1 Ac 0.000 0.000 0.000
Lu1 Lu 0.000 0.500 0.500
Sn1 Sn 0.500 0.500 0.000
```

---

VASP calculation (PBE-GGA) on crystalline AgSbTeN2 at its relaxed geometry.

crystal system	tetragonal
energy relative to the lowest polymorph listed for this composition	0.00	kcal/mol of atoms
formation energy from raw total energies	1.201	eV/atom
E	-4.15	eV per atom
V	105	Å³/f.u.
density	6.1	g cm⁻³

Cell and atoms, written as CIF:
```
data_AgSbTeN2
_cell_length_a 4.032
_cell_length_b 4.032
_cell_length_c 6.451
_cell_angle_alpha 90.00
_cell_angle_beta 90.00
_cell_angle_gamma 90.00
_space_group_name_H-M_alt 'P 4/m m m'
_space_group_IT_number 123
_space_group_name_Hall '-P 4 2'
loop_
_atom_site_label
_atom_site_type_symbol
_atom_site_fract_x
_atom_site_fract_y
_atom_site_fract_z
Ag1 Ag 0.000 0.000 0.000
Sb1 Sb 0.500 0.500 0.500
Te1 Te 0.500 0.500 0.000
N1 N 0.000 0.500 0.500
```

---

VASP calculation (PBE-GGA) on crystalline RbGe4Pt6 at its relaxed geometry.

crystal system	monoclinic
E	-5.37	eV per atom
V	216	Å³/f.u.
formation energy	-325	kJ/mol of formula units
density	11.9	g cm⁻³

Cell and atoms, written as CIF:
```
data_RbGe4Pt6
_cell_length_a 8.961
_cell_length_b 9.700
_cell_length_c 6.544
_cell_angle_alpha 90.00
_cell_angle_beta 130.47
_cell_angle_gamma 90.00
_space_group_name_H-M_alt 'C 1 m 1'
_space_group_IT_number 8
loop_
_space_group_symop_operation_xyz
'x,y,z'
'x,-y,z'
'x+1/2,y+1/2,z'
'x+1/2,-y+1/2,z'
loop_
_atom_site_label
_atom_site_type_symbol
_atom_site_fract_x
_atom_site_fract_y
_atom_site_fract_z
Rb1 Rb 0.000 0.000 0.000
Ge1 Ge 0.300 0.200 0.936
Ge2 Ge 0.352 0.500 0.384
Ge3 Ge 0.458 0.000 0.579
Pt1 Pt 0.010 0.500 0.262
Pt2 Pt 0.107 0.347 0.982
Pt3 Pt 0.205 0.000 0.644
Pt4 Pt 0.260 0.265 0.505
```

---

VASP calculation (PBE-GGA) on crystalline YGe2Pd2 at its relaxed geometry.

crystal system	tetragonal
E	-5.69	eV per atom
V	91	Å³/f.u.
formation energy	-230	kJ/mol of formula units
density	8.2	g cm⁻³

Cell and atoms, written as CIF:
```
data_YGe2Pd2
_cell_length_a 7.659
_cell_length_b 7.659
_cell_length_c 3.105
_cell_angle_alpha 90.00
_cell_angle_beta 90.00
_cell_angle_gamma 90.00
_space_group_name_H-M_alt 'P 4/m b m'
_space_group_IT_number 127
_space_group_name_Hall '-P 4 2ab'
loop_
_atom_site_label
_atom_site_type_symbol
_atom_site_fract_x
_atom_site_fract_y
_atom_site_fract_z
Y1 Y 0.000 0.000 0.000
Ge1 Ge 0.163 0.337 0.500
Pd1 Pd 0.128 0.628 0.000
```

---

VASP calculation (PBE-GGA) on crystalline CdCoPt2 at its relaxed geometry.

crystal system	orthorhombic
E	-5.14	eV per atom
V	63	Å³/f.u.
formation energy	-43	kJ/mol of formula units
density	14.9	g cm⁻³

Cell and atoms, written as CIF:
```
data_CdCoPt2
_cell_length_a 2.852
_cell_length_b 3.729
_cell_length_c 5.877
_cell_angle_alpha 90.00
_cell_angle_beta 90.00
_cell_angle_gamma 90.00
_space_group_name_H-M_alt 'P m m m'
_space_group_IT_number 47
loop_
_space_group_symop_operation_xyz
'x,y,z'
'-x,-y,-z'
'-x,-y,z'
'x,y,-z'
'x,-y,-z'
'-x,y,z'
'-x,y,-z'
'x,-y,z'
loop_
_atom_site_label
_atom_site_type_symbol
_atom_site_fract_x
_atom_site_fract_y
_atom_site_fract_z
Cd1 Cd 0.000 0.000 0.000
Co1 Co 0.000 0.000 0.500
Pt1 Pt 0.500 0.500 0.273
```

---

VASP calculation (PBE-GGA) on crystalline ZnSiNiAu2 at its relaxed geometry.

crystal system	tetragonal
formation energy from raw total energies	0.392	eV/atom
E	-3.41	eV per atom
V	99	Å³/f.u.
density	9.1	g cm⁻³

Cell and atoms, written as CIF:
```
data_ZnSiNiAu2
_cell_length_a 4.886
_cell_length_b 4.886
_cell_length_c 4.153
_cell_angle_alpha 90.00
_cell_angle_beta 90.00
_cell_angle_gamma 90.00
_space_group_name_H-M_alt 'P 4/m m m'
_space_group_IT_number 123
_space_group_name_Hall '-P 4 2'
loop_
_atom_site_label
_atom_site_type_symbol
_atom_site_fract_x
_atom_site_fract_y
_atom_site_fract_z
Zn1 Zn 0.000 0.000 0.000
Si1 Si 0.500 0.500 0.000
Ni1 Ni 0.500 0.500 0.500
Au1 Au 0.000 0.500 0.500
```

---

VASP calculation (PBE-GGA) on crystalline K2Be at its relaxed geometry.

crystal system	tetragonal
energy relative to the lowest polymorph listed for this composition	7.67	kcal/mol of atoms
E	-1.18	eV per atom
V	136	Å³/f.u.
formation energy	229	kJ/mol of formula units
density	1.1	g cm⁻³

Cell and atoms, written as CIF:
```
data_K2Be
_cell_length_a 5.932
_cell_length_b 5.932
_cell_length_c 3.861
_cell_angle_alpha 90.00
_cell_angle_beta 90.00
_cell_angle_gamma 90.00
_space_group_name_H-M_alt 'P 4/m m m'
_space_group_IT_number 123
_space_group_name_Hall '-P 4 2'
loop_
_atom_site_label
_atom_site_type_symbol
_atom_site_fract_x
_atom_site_fract_y
_atom_site_fract_z
K1 K 0.000 0.500 0.000
Be1 Be 0.000 0.000 0.500
```

---

VASP calculation (PBE-GGA) on crystalline CaSbSe2N at its relaxed geometry.

crystal system	tetragonal
energy relative to the lowest polymorph listed for this composition	14.69	kcal/mol of atoms
formation energy from raw total energies	0.536	eV/atom
E	-3.75	eV per atom
V	133	Å³/f.u.
density	4.2	g cm⁻³

Cell and atoms, written as CIF:
```
data_CaSbSe2N
_cell_length_a 5.514
_cell_length_b 5.514
_cell_length_c 4.383
_cell_angle_alpha 90.00
_cell_angle_beta 90.00
_cell_angle_gamma 90.00
_space_group_name_H-M_alt 'P 4/m m m'
_space_group_IT_number 123
_space_group_name_Hall '-P 4 2'
loop_
_atom_site_label
_atom_site_type_symbol
_atom_site_fract_x
_atom_site_fract_y
_atom_site_fract_z
Ca1 Ca 0.000 0.000 0.000
Sb1 Sb 0.500 0.500 0.500
Se1 Se 0.000 0.500 0.000
N1 N 0.000 0.000 0.500
```